Record 1
Compound: Sr3TlGa
Source: Alexandria
Functional: GGA-PBE
Structure: relaxed

a = 5.7146 Å, b = 5.7147 Å, c = 11.5466 Å
α = 90.00°, β = 75.67°, γ = 90.00°
Fractional coordinates of all 10 atoms:
Sr: 0.7491 0.2500 0.1502
Sr: 0.3992 0.2500 0.8499
Sr: 0.5742 0.2500 0.5000
Sr: 0.2491 0.7500 0.1501
Sr: 0.8992 0.7500 0.8498
Sr: 0.0742 0.7500 0.5000
Tl: 0.4828 0.7500 0.6828
Tl: 0.1656 0.2500 0.3172
Ga: 0.6670 0.7500 0.3143
Ga: 0.9813 0.2500 0.6857

Values from the calculation:
* space group: Cmcm (63)
* ΔH_f (0 K): -1.606 eV/f.u.
* E: -12.0 eV per formula unit

Record 2
Compound: Pm2Pr4Tm5
Source: Alexandria
Functional: GGA-PBE
Structure: relaxed

a = 3.5418 Å, b = 8.7017 Å, c = 14.5370 Å
α = 122.81°, β = 97.00°, γ = 90.00°
Fractional coordinates of all 11 atoms:
Pm: 0.7256 0.6247 0.4512
Pm: 0.2744 0.3753 0.5488
Pr: 0.5898 0.4815 0.1797
Pr: 0.0418 0.7439 0.0835
Pr: 0.4102 0.5185 0.8203
Pr: 0.9582 0.2561 0.9165
Tm: 0.1877 0.9031 0.3755
Tm: 0.8123 0.0969 0.6245
Tm: 0.1310 0.2134 0.2620
Tm: 0.5000 0.0000 0.0000
Tm: 0.8690 0.7866 0.7380

Values from the calculation:
* space group: C2/m (12)
* ΔH_f (0 K): 1.346 eV/f.u.
* E: -49.6 eV per formula unit

Record 3
Compound: Cs3PrSb2Te6
Source: Alexandria
Functional: GGA-PBE
Structure: relaxed

a = 8.0339 Å, b = 8.0339 Å, c = 9.3000 Å
α = 98.29°, β = 98.29°, γ = 120.00°
Fractional coordinates of all 12 atoms:
Cs: 0.1643 0.8357 0.5000
Cs: 0.8357 0.1643 0.5000
Cs: 0.5000 0.5000 0.5000
Pr: 0.0000 0.0000 0.0000
Sb: 0.3332 0.6668 0.0000
Sb: 0.6668 0.3332 0.0000
Te: 0.9365 0.5937 0.8101
Te: 0.7201 0.7201 0.1888
Te: 0.0635 0.4063 0.1899
Te: 0.5937 0.9365 0.8101
Te: 0.2799 0.2799 0.8112
Te: 0.4063 0.0635 0.1899

Values from the calculation:
* space group: C2/m (12)
* E: -44.2 eV per formula unit
* formation energy from raw total energies: -815 meV/atom

Record 4
Compound: Al2SiNCl
Source: Alexandria
Functional: GGA-PBE
Structure: relaxed

a = 4.9056 Å, b = 4.6987 Å, c = 4.9056 Å
α = 90.00°, β = 90.00°, γ = 90.00°
Fractional coordinates of all 5 atoms:
Si: 0.0000 0.5000 0.0000
N: 0.5000 0.5000 0.5000
Al: 0.0000 0.0000 0.5000
Al: 0.5000 0.0000 0.0000
Cl: 0.0000 0.0000 0.0000

Values from the calculation:
* space group: P4/mmm (123)
* E: -13.7 eV per formula unit
* formation energy from raw total energies: 1885 meV/atom

Record 5
Compound: Ce2MgGa5
Source: Alexandria
Functional: GGA-PBE
Structure: relaxed

a = 6.1664 Å, b = 6.1664 Å, c = 6.1664 Å
α = 92.09°, β = 118.80°, γ = 118.80°
Each line ends with the local moment (μB).
Fractional coordinates of all 8 atoms:
Ce: 0.5000 0.2750 0.7750  0.38
Ce: 0.5000 0.7750 0.2750  0.38
Mg: 0.0000 0.8044 0.8044  0.00
Ga: 0.4668 0.7593 0.7593  0.01
Ga: 0.0000 0.7593 0.2926  0.01
Ga: 0.0000 0.2926 0.7593  0.01
Ga: 0.5332 0.2926 0.2926  0.01
Ga: 0.0000 0.2639 0.2639  0.01

Values from the calculation:
* space group: I4mm (107)
* ΔH_f (0 K): -3.406 eV/f.u.
* E: -32.0 eV per formula unit

Record 6
Compound: MgRhCl
Source: Alexandria
Functional: GGA-PBE
Structure: relaxed

a = 6.6969 Å, b = 6.4106 Å, c = 3.0627 Å
α = 81.76°, β = 71.33°, γ = 26.91°
Each line ends with the local moment (μB).
Fractional coordinates of all 3 atoms:
Cl: 0.9818 0.9818 0.0182  0.01
Mg: 0.3388 0.3388 0.6612  -0.01
Rh: 0.6794 0.6794 0.3206  0.56

Values from the calculation:
* space group: Fmm2 (42)
* E: -11.6 eV per formula unit
* formation energy from raw total energies: -267 meV/atom

Record 7
Compound: Pm2NdSmHo
Source: Alexandria
Functional: GGA-PBE
Structure: relaxed

a = 7.2328 Å, b = 8.4591 Å, c = 7.2360 Å
α = 125.77°, β = 90.00°, γ = 90.00°
Fractional coordinates of all 10 atoms:
Pm: 0.5000 0.3112 0.0000
Pm: 0.0000 0.6888 0.0000
Pm: 0.5000 0.6888 0.0000
Pm: 0.0000 0.3112 0.0000
Nd: 0.2500 0.7270 0.4540
Nd: 0.7500 0.2730 0.5460
Sm: 0.2500 0.9902 0.9804
Sm: 0.7500 0.0098 0.0196
Ho: 0.7500 0.7309 0.4619
Ho: 0.2500 0.2691 0.5381

Values from the calculation:
* space group: Cmcm (63)
* ΔH_f (0 K): 1.956 eV/f.u.
* E: -21.6 eV per formula unit

Record 8
Compound: Dy3Ho3ScS8
Source: Alexandria
Functional: GGA-PBE
Structure: relaxed

a = 7.7384 Å, b = 7.7383 Å, c = 7.7446 Å
α = 119.97°, β = 90.00°, γ = 120.00°
Fractional coordinates of all 15 atoms:
Dy: 0.0000 0.0000 0.0000
Dy: 0.0000 0.5000 0.0000
Dy: 0.5000 0.5000 0.0000
Ho: 0.5000 0.0000 0.5000
Ho: 0.5000 0.5000 0.5000
Ho: 0.0000 0.5000 0.5000
Sc: 0.0000 0.0000 0.5000
S: 0.2506 0.5012 0.2519
S: 0.7494 0.4988 0.7481
S: 0.7564 0.5128 0.2576
S: 0.2436 0.4872 0.7424
S: 0.7563 0.0012 0.2575
S: 0.2437 0.9988 0.7425
S: 0.2448 0.0012 0.2576
S: 0.7552 0.9988 0.7424

Values from the calculation:
* space group: R-3m (166)
* E: -97.4 eV per formula unit
* formation energy from raw total energies: -2034 meV/atom

Record 9
Compound: Tb3Sm2Dy6Ho
Source: Alexandria
Functional: GGA-PBE
Structure: relaxed

a = 6.1609 Å, b = 6.1609 Å, c = 11.7898 Å
α = 94.97°, β = 94.97°, γ = 119.96°
Fractional coordinates of all 12 atoms:
Tb: 0.1665 0.8335 0.5000
Tb: 0.8335 0.1665 0.5000
Tb: 0.5000 0.5000 0.5000
Sm: 0.3334 0.6666 0.0000
Sm: 0.6666 0.3334 0.0000
Dy: 0.9159 0.5831 0.7490
Dy: 0.7514 0.7514 0.2511
Dy: 0.0841 0.4169 0.2510
Dy: 0.5831 0.9159 0.7490
Dy: 0.2486 0.2486 0.7489
Dy: 0.4169 0.0841 0.2510
Ho: 0.0000 0.0000 0.0000

Values from the calculation:
* space group: C2/m (12)
* ΔH_f (0 K): 0.176 eV/f.u.
* E: -55.3 eV per formula unit

Record 10
Compound: Ba2Ga3SiAu4
Source: Alexandria
Functional: GGA-PBE
Structure: relaxed

a = 4.6904 Å, b = 4.6904 Å, c = 10.5556 Å
α = 90.00°, β = 90.00°, γ = 90.00°
Fractional coordinates of all 10 atoms:
Ba: 0.5000 0.0000 0.2542
Ba: 0.0000 0.5000 0.7458
Ga: 0.0000 0.0000 0.5000
Ga: 0.5000 0.0000 0.8780
Ga: 0.0000 0.5000 0.1220
Si: 0.5000 0.5000 0.5000
Au: 0.5000 0.5000 0.0000
Au: 0.0000 0.0000 0.0000
Au: 0.5000 0.0000 0.6193
Au: 0.0000 0.5000 0.3807

Values from the calculation:
* space group: P-4m2 (115)
* E: -36.8 eV per formula unit
* formation energy from raw total energies: -536 meV/atom

Record 11
Compound: Zr12InPb3
Source: Alexandria
Functional: GGA-PBE
Structure: relaxed

a = 5.6814 Å, b = 5.6825 Å, c = 11.3653 Å
α = 90.00°, β = 90.00°, γ = 90.00°
Fractional coordinates of all 16 atoms:
Zr: 0.5000 0.0000 0.3771
Zr: 0.5000 0.0000 0.8738
Zr: 0.7497 0.5000 0.0000
Zr: 0.7522 0.5000 0.5000
Zr: 0.0000 0.7510 0.2513
Zr: 0.0000 0.7510 0.7487
Zr: 0.5000 0.0000 0.1262
Zr: 0.5000 0.0000 0.6229
Zr: 0.2503 0.5000 0.0000
Zr: 0.2478 0.5000 0.5000
Zr: 0.0000 0.2490 0.2513
Zr: 0.0000 0.2490 0.7487
In: 0.0000 0.0000 0.5000
Pb: 0.5000 0.5000 0.2494
Pb: 0.5000 0.5000 0.7506
Pb: 0.0000 0.0000 0.0000

Values from the calculation:
* space group: Pmmm (47)
* ΔH_f (0 K): -2.943 eV/f.u.
* E: -119.4 eV per formula unit

Record 12
Compound: HgMoIr
Source: Alexandria
Functional: GGA-PBE
Structure: relaxed

a = 2.8718 Å, b = 2.8718 Å, c = 7.1527 Å
α = 90.00°, β = 90.00°, γ = 120.00°
Fractional coordinates of all 3 atoms:
Hg: 0.0000 0.0000 0.9997
Ir: 0.6667 0.3333 0.3559
Mo: 0.3333 0.6667 0.6444

Values from the calculation:
* space group: P3m1 (156)
* ΔH_f (0 K): 0.741 eV/f.u.
* E: -19.3 eV per formula unit